Computed, not measured: an optimized crystal structure of HfNi3N at the PBE-GGA level of DFT.

Values from the calculation:
Magnetic moment: 1.64 Bohr magnetons per cell
Space group: Pm-3m
Distance to the lowest polymorph of the same formula: 2.398 eV per atom
Energy: -4.875 eV/atom
V: 96.4 Å³/cell
Formation energy without anion corrections: 2.250 eV/atom

Cell lengths 4.5856, 4.5856, 4.5856 Å; angles 90.00, 90.00, 90.00 degrees
Atoms (fractional coordinates):
Hf  0.0000  0.0000  0.0000
Ni  0.0000  0.0000  0.5000
Ni  0.0000  0.5000  0.0000
Ni  0.5000  0.0000  0.0000
N  0.5000  0.5000  0.5000

Computed, not measured: an optimized crystal structure of HfNi3N at the PBE-GGA level of DFT.

Values from the calculation:
Magnetic moment: 0.00 Bohr magnetons per cell
Space group: Pm-3m
Distance to the lowest polymorph of the same formula: 0.000 eV per atom
Energy: -7.273 eV/atom
V: 58.6 Å³/cell
Formation energy without anion corrections: -0.148 eV/atom

Cell lengths 3.8841, 3.8841, 3.8841 Å; angles 90.00, 90.00, 90.00 degrees
Atoms (fractional coordinates):
Hf  0.0000  0.0000  0.0000
Ni  0.0000  0.5000  0.5000
Ni  0.5000  0.0000  0.5000
Ni  0.5000  0.5000  0.0000
N  0.5000  0.5000  0.5000

Computed, not measured: an optimized crystal structure of Hf8NiN2 at the PBE-GGA level of DFT.

Values from the calculation:
Magnetic moment: 0.00 Bohr magnetons per cell
Space group: C2/m
Energy: -9.616 eV/atom
V: 209.4 Å³/cell
Formation energy without anion corrections: -0.338 eV/atom

Cell lengths 6.9489, 6.9489, 4.4549 Å; angles 90.67, 90.67, 76.75 degrees
Atoms (fractional coordinates):
Hf  0.1004  0.1004  0.2492
Hf  0.1632  0.6171  0.2515
Hf  0.2967  0.2967  0.7492
Hf  0.3829  0.8368  0.7485
Hf  0.6171  0.1632  0.2515
Hf  0.7033  0.7033  0.2508
Hf  0.8368  0.3829  0.7485
Hf  0.8996  0.8996  0.7508
Ni  0.5000  0.5000  0.0000
N  0.3033  0.3033  0.2653
N  0.6967  0.6967  0.7347

Question: Which of these has the highest magnetic moment?
Answer: number 1